1.
Below is an optimized crystal structure of ReRuO6, with properties calculated at the GGA-PBE level.

Computed properties:
* magnetization: 0.0 μB per formula unit
* E_form (uncorrected): -0.99 eV per atom
* ρ: 5.880 g/cm3

Unit cell a=4.799 b=9.672 c=4.798 alpha=90.00 beta=103.54 gamma=90.00
Space group C2/m (No. 12)
Symmetry-distinct sites (fractional):
Re 0.000 0.000 0.000
Ru 0.000 0.500 0.500
O 0.241 0.130 0.241
O 0.249 0.500 0.251

2.
Below is an optimized crystal structure of Mg2InOs2, with properties calculated at the GGA-PBE level.

Computed properties:
* magnetization: 0.8 μB per formula unit
* E_form: 0.2756 eV/atom
* ρ: 9.480 g/cm3

Unit cell a=6.722 b=6.722 c=4.216 alpha=90.00 beta=90.00 gamma=90.00
Space group P4/mbm (No. 127)
Symmetry-distinct sites (fractional):
Mg 0.165 0.335 0.000
In 0.000 0.000 0.500
Os 0.125 0.625 0.500

3.
Below is an optimized crystal structure of Ca2MgRuAu, with properties calculated at the GGA-PBE level.

Computed properties:
* magnetization: 0.0 μB per formula unit
* E_form: 0.1423 eV/atom
* ρ: 4.863 g/cm3

Unit cell a=5.272 b=5.272 c=4.945 alpha=90.00 beta=90.00 gamma=90.00
Space group P4/mmm (No. 123)
Symmetry-distinct sites (fractional):
Ca 0.000 0.500 0.000
Mg 0.000 0.000 0.500
Ru 0.000 0.000 0.000
Au 0.500 0.500 0.500

4.
Below is an optimized crystal structure of Pm12Si3N5, with properties calculated at the GGA-PBE level.

Computed properties:
* magnetization: 0.0 μB per formula unit
* E_form (uncorrected): -0.86 eV per atom
* ρ: 6.498 g/cm3

Unit cell a=15.703 b=15.703 c=15.703 alpha=90.00 beta=90.00 gamma=90.00
Space group Ia-3d (No. 230)
Symmetry-distinct sites (fractional):
Pm 0.033 0.055 0.650
Si 0.000 0.250 0.125
N 0.000 0.000 0.000
N 0.000 0.250 0.375